The following is a DFT calculation (PBE-GGA) of a geometry-optimized Sm2GdGe structure.

Unit cell a=3.9736 b=3.9736 c=7.0414 alpha=90.00 beta=90.00 gamma=90.00
Atoms (fractional coordinates):
Ge (0.5000, 0.5000, 0.5000)
Gd (0.5000, 0.5000, 0.0000)
Sm (0.0000, 0.0000, 0.7095)
Sm (0.0000, 0.0000, 0.2905)

## Properties
Uncorrected energy   -29.4 eV for the cell shown
ΔH_f (0 K)   -0.312 eV per atom
Total magnetization   2.045 μB per atom
Space-group type   No. 123